1.
The following is a GGA-PBE calculation of a relaxed HgBi2RhPb crystal, from Alexandria via LeMat-Bulk.

The structure in POSCAR format:
```
HgBi2RhPb
1.0
5.9032 0.0000 0.0000
0.0000 5.9032 0.0000
0.0000 0.0000 5.4256
Hg Bi Rh Pb
1 2 1 1
direct
0.0000 0.0000 0.0000
0.0000 0.5000 0.5000
0.5000 0.0000 0.5000
0.5000 0.5000 0.0000
0.0000 0.0000 0.5000
```

## Properties
For the density of states at the Fermi level, the calculation gives 1.72 states/eV per atom. The formation energy is 1.28 eV/atom. As for the crystal system: tetragonal. The total energy is -12.7 eV for the cell shown. As for the symmetry: P4/mmm (123).

=====

2.
The following is a GGA-PBE calculation of a relaxed Hg2BiSbPb2 crystal, from Alexandria via LeMat-Bulk.

The structure in POSCAR format:
```
Hg2BiSbPb2
1.0
5.6229 0.0000 0.0000
0.0000 9.7043 0.0000
0.0000 0.0000 6.6496
Hg Bi Sb Pb
4 2 2 4
direct
0.0000 0.0068 0.0000
0.0000 0.9932 0.5000
0.5000 0.1404 0.2914
0.5000 0.8596 0.7914
0.5000 0.4740 0.4702
0.5000 0.5260 0.9702
0.0000 0.3150 0.5702
0.0000 0.6850 0.0702
0.0000 0.3415 0.0808
0.0000 0.6585 0.5808
0.5000 0.1958 0.8040
0.5000 0.8042 0.3040
```

## Properties
For the density of states at the Fermi level, the calculation gives 0.41 states/eV per atom. As for the crystal system: orthorhombic. The total energy is -31.6 eV for the cell shown. For the uncorrected formation energy, the calculation gives 23.7 kJ/mol of formula units. As for the symmetry: Pmc2_1 (26).

=====

3.
The following is a GGA-PBE calculation of a relaxed HgBiSbPb2 crystal, from Alexandria via LeMat-Bulk.

The structure in POSCAR format:
```
HgBiSbPb2
1.0
2.0830 -9.2772 0.0000
2.0830 9.2772 0.0000
0.0000 0.0000 8.3471
Hg Bi Sb Pb
2 2 2 4
direct
0.1491 0.8509 0.7500
0.8509 0.1491 0.2500
0.5000 0.5000 0.0000
0.5000 0.5000 0.5000
0.0695 0.9305 0.2500
0.9305 0.0695 0.7500
0.3231 0.6769 0.5464
0.3231 0.6769 0.9536
0.6769 0.3231 0.0464
0.6769 0.3231 0.4536
```

## Properties
For the density of states at the Fermi level, the calculation gives 0.48 states/eV per atom. As for the crystal system: orthorhombic. The total energy is -30.5 eV for the cell shown. For the uncorrected formation energy, the calculation gives 43.3 kJ/mol of formula units. As for the symmetry: Cmcm (63).

=====

4.
The following is a GGA-PBE calculation of a relaxed HgBi2SbPb4 crystal, from Alexandria via LeMat-Bulk.

The structure in POSCAR format:
```
HgBi2SbPb4
1.0
7.6017 0.0000 0.0000
0.0000 4.6649 0.0000
-2.8495 0.0000 7.5652
Hg Bi Sb Pb
1 2 1 4
direct
0.0000 0.0000 0.0000
0.5000 0.0000 0.5000
0.5000 0.5000 0.0000
0.0000 0.5000 0.5000
0.2429 0.0000 0.7414
0.2466 0.5000 0.2546
0.7534 0.5000 0.7454
0.7571 0.0000 0.2586
```

## Properties
For the density of states at the Fermi level, the calculation gives 0.42 states/eV per atom. As for the crystal system: monoclinic. The total energy is -26.5 eV for the cell shown. For the uncorrected formation energy, the calculation gives 53.3 kJ/mol of formula units. As for the symmetry: P2/m (10).

=====

5.
The following is a GGA-PBE calculation of a relaxed HgBiSbPb3 crystal, from Alexandria via LeMat-Bulk.

The structure in POSCAR format:
```
HgBiSbPb3
1.0
5.5637 -4.0970 0.0000
5.5637 4.0970 0.0000
-1.4987 0.0000 8.0660
Hg Bi Sb Pb
2 2 2 6
direct
0.0868 0.0868 0.3380
0.9132 0.9132 0.6620
0.2431 0.7569 0.0000
0.7569 0.2431 0.0000
0.4181 0.4181 0.7070
0.5819 0.5819 0.2930
0.1254 0.5797 0.3502
0.2405 0.2405 0.9957
0.4203 0.8746 0.6498
0.5797 0.1254 0.3502
0.7595 0.7595 0.0043
0.8746 0.4203 0.6498
```

## Properties
For the density of states at the Fermi level, the calculation gives 0.34 states/eV per atom. As for the crystal system: monoclinic. The total energy is -38.4 eV for the cell shown. For the uncorrected formation energy, the calculation gives 22.3 kJ/mol of formula units. As for the symmetry: C2/m (12).

=====

6.
The following is a GGA-PBE calculation of a relaxed HgBiSbPb4 crystal, from Alexandria via LeMat-Bulk.

The structure in POSCAR format:
```
HgBiSbPb4
1.0
7.7165 0.0000 0.0000
0.0000 6.7385 0.0000
-3.5938 0.0000 8.8507
Hg Bi Sb Pb
2 2 2 8
direct
0.0294 0.2500 0.1190
0.9706 0.7500 0.8810
0.3957 0.2500 0.0769
0.6043 0.7500 0.9231
0.2155 0.7500 0.4335
0.7845 0.2500 0.5665
0.2154 0.0025 0.7293
0.2154 0.4975 0.7293
0.3443 0.2500 0.4559
0.3487 0.7500 0.1527
0.6513 0.2500 0.8473
0.6557 0.7500 0.5441
0.7846 0.5025 0.2707
0.7846 0.9975 0.2707
```

## Properties
For the density of states at the Fermi level, the calculation gives 0.42 states/eV per atom. As for the crystal system: monoclinic. The total energy is -45.6 eV for the cell shown. For the uncorrected formation energy, the calculation gives 30.7 kJ/mol of formula units. As for the symmetry: P2_1/m (11).

=====

7.
The following is a GGA-PBE calculation of a relaxed HgBiPb2Se5 crystal, from Alexandria via LeMat-Bulk.

The structure in POSCAR format:
```
HgBiPb2Se5
1.0
2.1141 -9.5394 0.0000
2.1141 9.5394 0.0000
0.0000 0.0000 12.9673
Hg Bi Pb Se
2 2 4 10
direct
0.0674 0.9326 0.5000
0.9326 0.0674 0.0000
0.2608 0.7392 0.0974
0.7392 0.2608 0.5974
0.3740 0.6260 0.3688
0.4285 0.5715 0.7069
0.5715 0.4285 0.2069
0.6260 0.3740 0.8688
0.0021 0.9979 0.8285
0.1192 0.8808 0.0431
0.2189 0.7811 0.4397
0.2512 0.7488 0.7605
0.4263 0.5737 0.1244
0.5737 0.4263 0.6244
0.7488 0.2512 0.2605
0.7811 0.2189 0.9397
0.8808 0.1192 0.5431
0.9979 0.0021 0.3285
```

## Properties
For the density of states at the Fermi level, the calculation gives 0.27 states/eV per atom. As for the crystal system: orthorhombic. The total energy is -63.8 eV for the cell shown. For the uncorrected formation energy, the calculation gives -277.5 kJ/mol of formula units. As for the symmetry: Cmc2_1 (36).

=====

8.
The following is a GGA-PBE calculation of a relaxed SnHg2BiPb2 crystal, from Alexandria via LeMat-Bulk.

The structure in POSCAR format:
```
SnHg2BiPb2
1.0
4.9089 0.0000 0.0000
0.0000 10.3961 0.0000
0.0000 0.0000 6.8870
Sn Hg Bi Pb
2 4 2 4
direct
0.0000 0.0032 0.0000
0.0000 0.9968 0.5000
0.0000 0.3362 0.4684
0.0000 0.6638 0.9684
0.5000 0.4929 0.6761
0.5000 0.5071 0.1761
0.5000 0.1631 0.7409
0.5000 0.8369 0.2409
0.0000 0.3427 0.9682
0.0000 0.6573 0.4682
0.5000 0.1718 0.2499
0.5000 0.8282 0.7499
```

## Properties
For the density of states at the Fermi level, the calculation gives 0.35 states/eV per atom. The formation energy is 0.03 eV/atom. As for the crystal system: orthorhombic. The total energy is -31.4 eV for the cell shown. As for the symmetry: Pmc2_1 (26).

=====

9.
The following is a GGA-PBE calculation of a relaxed SnHg2Bi2Pb2 crystal, from Alexandria via LeMat-Bulk.

The structure in POSCAR format:
```
SnHg2Bi2Pb2
1.0
5.1514 0.0000 0.0000
-2.5757 4.4613 0.0000
0.0000 0.0000 9.4594
Sn Hg Bi Pb
1 2 2 2
direct
0.0000 0.0000 0.0000
0.0000 0.0000 0.3233
0.0000 0.0000 0.6767
0.3333 0.6667 0.8395
0.6667 0.3333 0.1605
0.3333 0.6667 0.4048
0.6667 0.3333 0.5952
```

## Properties
For the density of states at the Fermi level, the calculation gives 0.52 states/eV per atom. The formation energy is 0.14 eV/atom. As for the crystal system: trigonal. The total energy is -18.8 eV for the cell shown. As for the symmetry: P-3m1 (164).

=====

10.
The following is a GGA-PBE calculation of a relaxed Sn2HgBiPb crystal, from Alexandria via LeMat-Bulk.

The structure in POSCAR format:
```
Sn2HgBiPb
1.0
5.9255 0.0000 0.0000
0.0000 5.9255 0.0000
0.0000 0.0000 5.6456
Sn Hg Bi Pb
2 1 1 1
direct
0.0000 0.5000 0.0000
0.5000 0.0000 0.0000
0.0000 0.0000 0.5000
0.0000 0.0000 0.0000
0.5000 0.5000 0.5000
```

## Properties
For the density of states at the Fermi level, the calculation gives 0.82 states/eV per atom. The formation energy is 0.57 eV/atom. The distance to the lowest polymorph of the same formula comes out at 482 meV/atom. As for the crystal system: tetragonal. The total energy is -13.0 eV for the cell shown. As for the symmetry: P4/mmm (123).

=====

11.
The following is a GGA-PBE calculation of a relaxed Sn2HgBi2Pb2 crystal, from Alexandria via LeMat-Bulk.

The structure in POSCAR format:
```
Sn2HgBi2Pb2
1.0
5.6430 -1.6614 0.0000
5.6430 1.6614 0.0000
-2.1678 0.0000 11.3453
Sn Hg Bi Pb
2 1 2 2
direct
0.1449 0.1449 0.0556
0.8551 0.8551 0.9444
0.0000 0.0000 0.5000
0.2105 0.2105 0.3546
0.7895 0.7895 0.6454
0.4439 0.4439 0.2077
0.5561 0.5561 0.7923
```

## Properties
For the density of states at the Fermi level, the calculation gives 0.42 states/eV per atom. The formation energy is 0.05 eV/atom. As for the crystal system: monoclinic. The total energy is -23.2 eV for the cell shown. As for the symmetry: C2/m (12).

=====

12.
The following is a GGA-PBE calculation of a relaxed SnHg2Bi2Pb crystal, from Alexandria via LeMat-Bulk.

The structure in POSCAR format:
```
SnHg2Bi2Pb
1.0
5.7909 0.0000 0.0000
0.0000 9.6144 0.0000
0.0000 0.0000 6.6107
Sn Hg Bi Pb
2 4 4 2
direct
0.0000 0.1282 0.0000
0.0000 0.8718 0.5000
0.0000 0.4554 0.9772
0.0000 0.5446 0.4772
0.5000 0.4424 0.7305
0.5000 0.5576 0.2305
0.0000 0.1964 0.4937
0.0000 0.8036 0.9937
0.5000 0.1185 0.7555
0.5000 0.8815 0.2555
0.5000 0.2307 0.2285
0.5000 0.7693 0.7285
```

## Properties
For the density of states at the Fermi level, the calculation gives 0.32 states/eV per atom. The formation energy is 0.03 eV/atom. As for the crystal system: orthorhombic. The total energy is -31.8 eV for the cell shown. As for the symmetry: Pmc2_1 (26).